Entry 1:
Below is a relaxed CuRe2Hg crystal, with properties calculated at the PBE level.

Output
DOS(E_F)	2.304	states/eV per cell
E	-6.71	eV/atom
size of the total moment	0.00	μB per formula unit
crystal system	orthorhombic

The structure in CIF format:
```
data_CuRe2Hg
_chemical_formula_sum 'Cu1 Re2 Hg1'
_space_group_name_H-M_alt 'P 1'
_space_group_IT_number 1
_cell_length_a 5.8168
_cell_length_b 5.8168
_cell_length_c 5.8168
_cell_angle_alpha 152.56
_cell_angle_beta 134.77
_cell_angle_gamma 53.72
loop_
_space_group_symop_operation_xyz
'x,y,z'
loop_
_atom_site_label
_atom_site_fract_x
_atom_site_fract_y
_atom_site_fract_z
Cu1 0.0000 0.0000 0.0000
Re1 0.2145 0.7145 0.5000
Re2 0.7855 0.2855 0.5000
Hg1 0.5000 0.5000 0.0000
```

Entry 2:
Below is a relaxed Er5Pt3 crystal, with properties calculated at the PBE level.

Output
DOS(E_F)	9.046	states/eV per cell
E	-6.17	eV/atom
size of the total moment	0.00	μB per formula unit
crystal system	hexagonal

The structure in CIF format:
```
data_Er5Pt3
_chemical_formula_sum 'Er10 Pt6'
_space_group_name_H-M_alt 'P 1'
_space_group_IT_number 1
_cell_length_a 8.3877
_cell_length_b 8.3877
_cell_length_c 6.1094
_cell_angle_alpha 90.00
_cell_angle_beta 90.00
_cell_angle_gamma 120.00
loop_
_space_group_symop_operation_xyz
'x,y,z'
loop_
_atom_site_label
_atom_site_fract_x
_atom_site_fract_y
_atom_site_fract_z
Er1 0.0000 0.2455 0.2500
Er2 0.0000 0.7545 0.7500
Er3 0.2455 0.0000 0.2500
Er4 0.2455 0.2455 0.7500
Er5 0.3333 0.6667 0.0000
Er6 0.3333 0.6667 0.5000
Er7 0.6667 0.3333 0.0000
Er8 0.6667 0.3333 0.5000
Er9 0.7545 0.0000 0.7500
Er10 0.7545 0.7545 0.2500
Pt1 0.0000 0.3948 0.7500
Pt2 0.0000 0.6052 0.2500
Pt3 0.3948 0.0000 0.7500
Pt4 0.3948 0.3948 0.2500
Pt5 0.6052 0.0000 0.2500
Pt6 0.6052 0.6052 0.7500
```

Entry 3:
Below is a relaxed Li2CaTa2O7 crystal, with properties calculated at the PBE level.

Output
DOS(E_F)	0.000	states/eV per cell
E	-8.15	eV/atom
size of the total moment	0.00	μB per formula unit
crystal system	orthorhombic
ΔE_f (raw)	-2.799	eV per atom

The structure in CIF format:
```
data_Li2CaTa2O7
_chemical_formula_sum 'Li4 Ca2 Ta4 O14'
_space_group_name_H-M_alt 'P 1'
_space_group_IT_number 1
_cell_length_a 9.5893
_cell_length_b 9.5893
_cell_length_c 5.5852
_cell_angle_alpha 90.00
_cell_angle_beta 90.00
_cell_angle_gamma 33.70
loop_
_space_group_symop_operation_xyz
'x,y,z'
loop_
_atom_site_label
_atom_site_fract_x
_atom_site_fract_y
_atom_site_fract_z
Li1 0.2368 0.2368 0.0000
Li2 0.2368 0.2368 0.5000
Li3 0.7632 0.7632 0.0000
Li4 0.7632 0.7632 0.5000
Ca1 0.2508 0.7492 0.7500
Ca2 0.7492 0.2508 0.2500
Ta1 0.1414 0.6345 0.2500
Ta2 0.3655 0.8586 0.2500
Ta3 0.6345 0.1414 0.7500
Ta4 0.8586 0.3655 0.7500
O1 0.0895 0.4834 0.2500
O2 0.1191 0.1191 0.0000
O3 0.1191 0.1191 0.5000
O4 0.1684 0.8316 0.2500
O5 0.4159 0.4159 0.0000
O6 0.4159 0.4159 0.5000
O7 0.4834 0.0895 0.7500
O8 0.5166 0.9105 0.2500
O9 0.5841 0.5841 0.0000
O10 0.5841 0.5841 0.5000
O11 0.8316 0.1684 0.7500
O12 0.8809 0.8809 0.0000
O13 0.8809 0.8809 0.5000
O14 0.9105 0.5166 0.7500
```

Entry 4:
Below is a relaxed LaMgCr2 crystal, with properties calculated at the PBE level.

Output
DOS(E_F)	2.869	states/eV per cell
E	-6.02	eV/atom
size of the total moment	0.17	μB per formula unit
crystal system	tetragonal

The structure in CIF format:
```
data_LaMgCr2
_chemical_formula_sum 'La1 Mg1 Cr2'
_space_group_name_H-M_alt 'P 1'
_space_group_IT_number 1
_cell_length_a 4.9994
_cell_length_b 4.9994
_cell_length_c 4.9994
_cell_angle_alpha 120.23
_cell_angle_beta 120.23
_cell_angle_gamma 89.60
loop_
_space_group_symop_operation_xyz
'x,y,z'
loop_
_atom_site_label
_atom_site_fract_x
_atom_site_fract_y
_atom_site_fract_z
La1 0.0000 0.0000 0.0000
Mg1 0.2500 0.7500 0.5000
Cr1 0.5000 0.5000 0.0000
Cr2 0.7500 0.2500 0.5000
```

Entry 5:
Below is a relaxed PuInCu2 crystal, with properties calculated at the PBE level.

Output
DOS(E_F)	6.331	states/eV per cell
E	-6.25	eV/atom
size of the total moment	5.53	μB per formula unit
crystal system	tetragonal

The structure in CIF format:
```
data_PuInCu2
_chemical_formula_sum 'Pu1 In1 Cu2'
_space_group_name_H-M_alt 'P 1'
_space_group_IT_number 1
_cell_length_a 3.1258
_cell_length_b 3.1258
_cell_length_c 7.5614
_cell_angle_alpha 90.00
_cell_angle_beta 90.00
_cell_angle_gamma 90.00
loop_
_space_group_symop_operation_xyz
'x,y,z'
loop_
_atom_site_label
_atom_site_fract_x
_atom_site_fract_y
_atom_site_fract_z
Pu1 0.0000 0.0000 0.0000
In1 0.0000 0.0000 0.5000
Cu1 0.5000 0.5000 0.2741
Cu2 0.5000 0.5000 0.7259
```

Entry 6:
Below is a relaxed BaSnN2F crystal, with properties calculated at the PBE level.

Output
DOS(E_F)	0.808	states/eV per cell
E	-5.59	eV/atom
size of the total moment	0.47	μB per formula unit
crystal system	tetragonal
ΔE_f (raw)	-0.701	eV per atom

The structure in CIF format:
```
data_BaSnN2F
_chemical_formula_sum 'Ba1 Sn1 N2 F1'
_space_group_name_H-M_alt 'P 1'
_space_group_IT_number 1
_cell_length_a 4.1897
_cell_length_b 4.1897
_cell_length_c 4.6065
_cell_angle_alpha 90.00
_cell_angle_beta 90.00
_cell_angle_gamma 90.00
loop_
_space_group_symop_operation_xyz
'x,y,z'
loop_
_atom_site_label
_atom_site_fract_x
_atom_site_fract_y
_atom_site_fract_z
Ba1 0.0000 0.0000 0.0000
Sn1 0.5000 0.5000 0.5000
N1 0.0000 0.5000 0.5000
N2 0.5000 0.0000 0.5000
F1 0.5000 0.5000 0.0000
```